Below is an optimized crystal structure of LiPrGaHg, with properties calculated at the PBE level.

Output
Fermi-level density of states, states/eV per cell: 1.761
Formation energy from the elements, meV per atom: -443.9
DFT total energy, eV/atom: -2.949

a b c (Å): 5.0784 5.0784 5.0784
angles (deg): 60.00 60.00 60.00
Last column: nearest neighbours and their distance in Å.
Atoms (fractional coordinates):
Li 0.0000 0.0000 0.0000  4 Hg 3.11, 4 Ga 3.11
Pr 0.5000 0.5000 0.5000  4 Hg 3.11, 4 Ga 3.11
Ga 0.2500 0.2500 0.2500  4 Pr 3.11, 4 Li 3.11
Hg 0.7500 0.7500 0.7500  4 Li 3.11, 4 Pr 3.11